DFT (PBE) results for crystalline Pu2Hf3ZrN6 at its relaxed geometry.

a = 5.6962 Å, b = 5.6962 Å, c = 5.7685 Å
α = 99.45°, β = 99.45°, γ = 120.05°
Last column: nearest neighbours and their distance in Å.
Element x y z (fractional)
N 0.4189 0.0896 0.2698  3 Hf 2.26-2.30, 1 Zr 2.38, 2 Pu 2.41
N 0.9104 0.5811 0.7302  3 Hf 2.26-2.30, 1 Zr 2.38, 2 Pu 2.41
N 0.5811 0.9104 0.7302  3 Hf 2.26-2.30, 1 Zr 2.38, 2 Pu 2.41
N 0.7621 0.7621 0.2732  3 Hf 2.25-2.28, 1 Zr 2.39, 2 Pu 2.42
N 0.2379 0.2379 0.7268  3 Hf 2.25-2.28, 1 Zr 2.39, 2 Pu 2.42
N 0.0896 0.4189 0.2698  3 Hf 2.26-2.30, 1 Zr 2.38, 2 Pu 2.41
Hf 0.8342 0.1658 0.5000  6 N 2.25-2.30
Hf 0.1658 0.8342 0.5000  6 N 2.25-2.30
Hf 0.5000 0.5000 0.5000  6 N 2.27-2.28
Zr 0.0000 0.0000 0.0000  6 N 2.38-2.39
Pu 0.3337 0.6663 0.0000  6 N 2.41-2.42
Pu 0.6663 0.3337 0.0000  6 N 2.41-2.42

Values from the calculation:
Raw formation energy: -1.63 eV/atom
E_tot: -11.3854 eV per atom
Size of the total moment: 0.786 μB/atom

***

DFT (PBE) results for crystalline ThCuPdRh at its relaxed geometry.

a = 4.7236 Å, b = 4.7236 Å, c = 4.7236 Å
α = 60.00°, β = 60.00°, γ = 60.00°
Last column: nearest neighbours and their distance in Å.
Element x y z (fractional)
Rh 0.0000 0.0000 0.0000  4 Cu 2.89, 4 Th 2.89
Pd 0.5000 0.5000 0.5000  4 Th 2.89, 4 Cu 2.89
Cu 0.2500 0.2500 0.2500  4 Pd 2.89, 4 Rh 2.89
Th 0.7500 0.7500 0.7500  4 Rh 2.89, 4 Pd 2.89

Values from the calculation:
Energy of formation: -1.99 eV/f.u.
E_tot: -6.5125 eV per atom
Size of the total moment: 0.000 μB/atom
Offset from the most stable computed form: 0.156 eV per atom

***

DFT (PBE) results for crystalline MnCo2H3 at its relaxed geometry.

a = 3.7634 Å, b = 5.3036 Å, c = 7.9430 Å
α = 90.00°, β = 90.00°, γ = 90.00°
Last column: nearest neighbours and their distance in Å.
Element x y z (fractional)
H 0.2497 0.1179 0.2484  2 Mn 1.85-1.86, 4 Co 1.87-1.89
H 0.2500 0.6349 0.5850  3 Co 1.83-1.87, 3 Mn 1.88-1.98
H 0.7499 0.8860 0.4121  5 Co 1.80-1.90, 1 Mn 1.92
H 0.2500 0.1349 0.9150  3 Co 1.83-1.87, 3 Mn 1.88-1.98
H 0.2501 0.6140 0.9121  5 Co 1.80-1.90, 1 Mn 1.92
H 0.2501 0.1140 0.5879  5 Co 1.80-1.90, 1 Mn 1.92
H 0.2497 0.6179 0.2516  2 Mn 1.85-1.86, 4 Co 1.87-1.89
H 0.7503 0.3821 0.7484  2 Mn 1.85-1.86, 4 Co 1.87-1.89
H 0.7500 0.3651 0.4150  3 Co 1.83-1.87, 3 Mn 1.88-1.98
H 0.7500 0.8651 0.0850  3 Co 1.83-1.87, 3 Mn 1.88-1.98
H 0.7499 0.3860 0.0879  5 Co 1.80-1.90, 1 Mn 1.92
H 0.7503 0.8821 0.7516  2 Mn 1.85-1.86, 4 Co 1.87-1.89
Mn 0.2500 0.8632 0.0866  6 H 1.85-1.98
Mn 0.2500 0.3632 0.4134  6 H 1.85-1.98
Mn 0.7500 0.1368 0.9134  6 H 1.85-1.98
Mn 0.7500 0.6368 0.5866  6 H 1.85-1.98
Co 0.2500 0.3720 0.0825  6 H 1.83-1.89
Co 0.7500 0.6280 0.9175  6 H 1.83-1.89
Co 0.2500 0.8808 0.7526  6 H 1.80-1.90
Co 0.7500 0.1280 0.5825  6 H 1.83-1.89
Co 0.7500 0.1192 0.2474  6 H 1.80-1.90
Co 0.7500 0.6192 0.2526  6 H 1.80-1.90
Co 0.2500 0.8720 0.4175  6 H 1.83-1.89
Co 0.2500 0.3808 0.7474  6 H 1.80-1.90

Values from the calculation:
E_tot: -5.6011 eV per atom
Size of the total moment: 0.837 μB/atom
Offset from the most stable computed form: 0.000 eV per atom

***

DFT (PBE) results for crystalline ReNi2Br at its relaxed geometry.

a = 3.0264 Å, b = 3.0264 Å, c = 6.2341 Å
α = 90.00°, β = 90.00°, γ = 90.00°
Last column: nearest neighbours and their distance in Å.
Element x y z (fractional)
Ni 0.0000 0.0000 0.0409  4 Ni 2.49, 1 Re 2.57, 4 Br 2.76
Ni 0.5000 0.5000 0.2442  4 Ni 2.49, 4 Re 2.50
Br 0.5000 0.5000 0.7620  5 Ni 2.76-3.01, 4 Re 2.88, 4 Br 3.03
Re 0.0000 0.0000 0.4529  5 Ni 2.50-2.57

Values from the calculation:
Raw formation energy: 0.60 eV/atom
E_tot: -5.8163 eV per atom
Size of the total moment: 0.000 μB/atom
Offset from the most stable computed form: 0.205 eV per atom

***

DFT (PBE) results for crystalline Pr6Os2PtBr3 at its relaxed geometry.

a = 7.2591 Å, b = 7.2591 Å, c = 8.2333 Å
α = 98.44°, β = 98.44°, γ = 120.01°
Last column: nearest neighbours and their distance in Å.
Element x y z (fractional)
Br 0.1689 0.8311 0.5000  6 Pr 3.31-3.45
Br 0.5000 0.5000 0.5000  6 Pr 3.33-3.43
Br 0.8311 0.1689 0.5000  6 Pr 3.31-3.45
Pr 0.9342 0.5885 0.8026  2 Os 2.84, 1 Pt 2.95
Pr 0.7197 0.7197 0.1971  2 Os 2.84, 1 Pt 2.95
Pr 0.4115 0.0658 0.1974  2 Os 2.84, 1 Pt 2.95
Pr 0.0658 0.4115 0.1974  2 Os 2.84, 1 Pt 2.95
Pr 0.2803 0.2803 0.8029  2 Os 2.84, 1 Pt 2.95
Pr 0.5885 0.9342 0.8026  2 Os 2.84, 1 Pt 2.95
Pt 0.0000 0.0000 0.0000  6 Pr 2.95
Os 0.3335 0.6665 0.0000  6 Pr 2.84
Os 0.6665 0.3335 0.0000  6 Pr 2.84

Values from the calculation:
Raw formation energy: -0.88 eV/atom
E_tot: -6.0619 eV per atom
Size of the total moment: 0.000 μB/atom

***

DFT (PBE) results for crystalline Si2TeSe at its relaxed geometry.

a = 3.7288 Å, b = 3.7288 Å, c = 9.1853 Å
α = 90.00°, β = 90.00°, γ = 124.48°
Last column: nearest neighbours and their distance in Å.
Element x y z (fractional)
Si 0.5000 0.5000 0.2160  2 Si 2.51, 2 Te 2.57
Si 0.0000 0.0000 0.0184  2 Se 2.37, 2 Si 2.51
Te 0.0000 0.0000 0.4226  2 Si 2.57
Se 0.5000 0.5000 0.8430  2 Si 2.37

Values from the calculation:
Raw formation energy: 0.27 eV/atom
E_tot: -4.0957 eV per atom
Size of the total moment: 0.000 μB/atom
Offset from the most stable computed form: 0.338 eV per atom

***

DFT (PBE) results for crystalline LiYThSi at its relaxed geometry.

a = 5.0666 Å, b = 5.0666 Å, c = 5.0666 Å
α = 60.00°, β = 60.00°, γ = 60.00°
Last column: nearest neighbours and their distance in Å.
Element x y z (fractional)
Th 0.0000 0.0000 0.0000  4 Li 3.10, 4 Si 3.10
Li 0.2500 0.2500 0.2500  4 Th 3.10, 4 Y 3.10
Y 0.5000 0.5000 0.5000  4 Si 3.10, 4 Li 3.10
Si 0.7500 0.7500 0.7500  4 Th 3.10, 4 Y 3.10

Values from the calculation:
Raw formation energy: -0.24 eV/atom
E_tot: -5.5413 eV per atom
Size of the total moment: 0.000 μB/atom

***

DFT (PBE) results for crystalline SmU2Re9 at its relaxed geometry.

a = 5.2520 Å, b = 5.2520 Å, c = 9.6191 Å
α = 74.16°, β = 74.16°, γ = 60.00°
Last column: nearest neighbours and their distance in Å.
Element x y z (fractional)
Re 0.6648 0.6648 0.0056  6 Re 2.70-2.76
Re 0.3352 0.3352 0.9944  6 Re 2.70-2.76
Re 0.5849 0.5849 0.7516  7 Re 2.59-2.76
Re 0.0786 0.5849 0.7516  7 Re 2.59-2.76
Re 0.9214 0.4151 0.2484  7 Re 2.59-2.76
Re 0.5000 0.5000 0.5000  6 Re 2.76, 6 U 3.07
Re 0.5849 0.0786 0.7516  7 Re 2.59-2.76
Re 0.4151 0.9214 0.2484  7 Re 2.59-2.76
Re 0.4151 0.4151 0.2484  7 Re 2.59-2.76
Sm 0.0000 0.0000 0.0000  6 Re 3.03
U 0.1484 0.1484 0.5550  12 Re 3.07-3.18, 3 U 3.19
U 0.8516 0.8516 0.4450  12 Re 3.07-3.18, 3 U 3.19

Values from the calculation:
Energy of formation: 0.76 eV/f.u.
E_tot: -11.5471 eV per atom
Size of the total moment: 0.095 μB/atom

***

DFT (PBE) results for crystalline Tm3MgIn at its relaxed geometry.

a = 5.0622 Å, b = 8.1643 Å, c = 8.1643 Å
α = 119.99°, β = 90.00°, γ = 90.00°
Last column: nearest neighbours and their distance in Å.
Element x y z (fractional)
Mg 0.0000 0.0000 0.0000  2 Mg 2.53
Mg 0.5000 0.0000 0.0000  2 Mg 2.53
Tm 0.7500 0.1965 0.8035  2 Mg 3.05, 2 In 3.19, 2 Tm 3.35
Tm 0.2500 0.3930 0.1965  2 Mg 3.05, 2 In 3.19, 2 Tm 3.35
Tm 0.2500 0.8035 0.6070  2 Mg 3.05, 2 In 3.19, 2 Tm 3.35
Tm 0.7500 0.1965 0.3930  2 Mg 3.05, 2 In 3.19, 2 Tm 3.35
Tm 0.2500 0.8035 0.1965  2 Mg 3.05, 2 In 3.19, 2 Tm 3.35
Tm 0.7500 0.6070 0.8035  2 Mg 3.05, 2 In 3.19, 2 Tm 3.35
In 0.2500 0.3334 0.6666  6 Tm 3.19
In 0.7500 0.6666 0.3334  6 Tm 3.19

Values from the calculation:
Energy of formation: 0.50 eV/f.u.
E_tot: -3.4504 eV per atom
Size of the total moment: 0.000 μB/atom
Offset from the most stable computed form: 0.329 eV per atom

***

DFT (PBE) results for crystalline LiFe2ReSb at its relaxed geometry.

a = 4.6319 Å, b = 4.3769 Å, c = 4.6319 Å
α = 90.00°, β = 90.00°, γ = 90.00°
Last column: nearest neighbours and their distance in Å.
Element x y z (fractional)
Re 0.5000 0.5000 0.5000  8 Fe 3.19, 4 Li 3.28
Fe 0.5000 0.0000 0.0000  2 Sb 2.32
Fe 0.0000 0.0000 0.5000  2 Sb 2.32
Li 0.0000 0.5000 0.0000  2 Sb 2.19
Sb 0.0000 0.0000 0.0000  2 Li 2.19, 4 Fe 2.32

Values from the calculation:
Raw formation energy: 1.73 eV/atom
E_tot: -5.3496 eV per atom
Size of the total moment: 0.787 μB/atom

***

DFT (PBE) results for crystalline BaZnP2 at its relaxed geometry.

a = 5.8294 Å, b = 5.8294 Å, c = 5.8294 Å
α = 143.27°, β = 123.19°, γ = 69.59°
Last column: nearest neighbours and their distance in Å.
Element x y z (fractional)
P 0.9331 0.9331 0.0000  2 P 2.31
P 0.7866 0.2866 0.5000  2 P 2.31
Ba 0.2383 0.7383 0.5000  8 P 3.34-3.45, 4 Zn 3.35-3.44, 2 Ba 3.67
Zn 0.5420 0.5420 0.0000  2 P 2.98

Values from the calculation:
Energy of formation: -1.02 eV/f.u.
E_tot: -3.7589 eV per atom
Size of the total moment: 0.000 μB/atom

***

DFT (PBE) results for crystalline La5Pr2Nd3 at its relaxed geometry.

a = 10.3885 Å, b = 10.3769 Å, c = 11.4635 Å
α = 129.66°, β = 129.68°, γ = 65.82°
Last column: nearest neighbours and their distance in Å.
Element x y z (fractional)
Nd 0.2786 0.5276 0.7506  1 Pr 3.35, 5 La 3.45-3.65, 1 Nd 3.66
Nd 0.0280 0.7770 0.2494  1 Pr 3.35, 5 La 3.45-3.65, 1 Nd 3.66
Nd 0.2325 0.9825 0.9650  1 La 3.09, 2 Pr 3.43
Nd 0.7675 0.0175 0.0350  1 La 3.09, 2 Pr 3.43
Nd 0.7214 0.4724 0.2494  1 Pr 3.35, 5 La 3.45-3.65, 1 Nd 3.66
Nd 0.9720 0.2230 0.7506  1 Pr 3.35, 5 La 3.45-3.65, 1 Nd 3.66
Pr 0.2192 0.9688 0.2482  3 Nd 3.35-3.64, 4 La 3.46-3.63
Pr 0.4710 0.7206 0.7518  3 Nd 3.35-3.64, 4 La 3.46-3.63
Pr 0.5290 0.2794 0.2482  3 Nd 3.35-3.64, 4 La 3.46-3.63
Pr 0.7808 0.0312 0.7518  3 Nd 3.35-3.64, 4 La 3.46-3.63
La 0.8799 0.6291 0.7532  3 Nd 3.52-3.91, 3 La 3.56-3.61, 1 Pr 3.88
La 0.5190 0.2690 0.5379  1 La 3.10, 2 Pr 3.46
La 0.0247 0.7747 0.5494  1 Nd 3.09
La 0.9753 0.2253 0.4506  1 Nd 3.09
La 0.3733 0.1241 0.7532  3 Nd 3.52-3.91, 3 La 3.56-3.61, 1 Pr 3.88
La 0.7274 0.4774 0.9549  1 La 3.10, 2 Nd 3.45
La 0.2726 0.5226 0.0451  1 La 3.10, 2 Nd 3.45
La 0.4810 0.7310 0.4621  1 La 3.10, 2 Pr 3.46
La 0.6267 0.8759 0.2468  3 Nd 3.52-3.91, 3 La 3.56-3.61, 1 Pr 3.88
La 0.1201 0.3709 0.2468  3 Nd 3.52-3.91, 3 La 3.56-3.61, 1 Pr 3.88

Values from the calculation:
Energy of formation: 1.42 eV/f.u.
E_tot: -4.7081 eV per atom
Size of the total moment: 0.000 μB/atom